No. 1
Crystalline Li2Ga2Cu3 at its relaxed geometry, computed with PBE.

a = 4.2306 Å, b = 4.1651 Å, c = 6.6969 Å
α = 109.60°, β = 90.00°, γ = 120.52°
Fractional positions:
Ga: 0.4180 0.8360 0.2608
Cu: 0.2848 0.5697 0.8473
Ga: 0.5820 0.1640 0.7392
Cu: 0.0000 0.0000 0.0000
Cu: 0.7152 0.4303 0.1527
Li: 0.1406 0.2811 0.4237
Li: 0.8594 0.7189 0.5763

Summary:
distance to the lowest polymorph of the same formula = 0.0 meV/atom
space group = C2/m (12)
energy of formation = -0.199 eV/atom

=====

No. 2
Crystalline LiGa3Cu12 at its relaxed geometry, computed with PBE.

a = 3.6898 Å, b = 3.6898 Å, c = 14.6935 Å
α = 90.00°, β = 90.00°, γ = 90.00°
Fractional positions:
Cu: 0.0000 0.5000 0.8776
Cu: 0.5000 0.5000 0.0000
Ga: 0.0000 0.0000 0.2467
Cu: 0.5000 0.5000 0.2489
Cu: 0.0000 0.5000 0.6267
Cu: 0.0000 0.5000 0.3733
Ga: 0.0000 0.0000 0.5000
Cu: 0.5000 0.5000 0.5000
Ga: 0.0000 0.0000 0.7533
Cu: 0.0000 0.5000 0.1224
Cu: 0.5000 0.5000 0.7511
Li: 0.0000 0.0000 0.0000
Cu: 0.5000 0.0000 0.1224
Cu: 0.5000 0.0000 0.6267
Cu: 0.5000 0.0000 0.8776
Cu: 0.5000 0.0000 0.3733

Summary:
space group = P4/mmm (123)
energy of formation = -0.079 eV/atom

=====

No. 3
Crystalline Li5GaCu at its relaxed geometry, computed with PBE.

a = 5.5150 Å, b = 5.5150 Å, c = 9.0798 Å
α = 81.63°, β = 81.63°, γ = 56.74°
Fractional positions:
Li: 0.7147 0.2853 0.7500
Li: 0.3059 0.4199 0.5313
Li: 0.5801 0.6941 0.9687
Ga: 0.7850 0.2150 0.2500
Ga: 0.2150 0.7850 0.7500
Li: 0.1435 0.3107 0.8168
Li: 0.6941 0.5801 0.4687
Li: 0.4199 0.3059 0.0313
Li: 0.8565 0.6893 0.1832
Li: 0.6893 0.8565 0.6832
Cu: 0.0000 0.0000 0.5000
Li: 0.2853 0.7147 0.2500
Cu: 0.0000 0.0000 0.0000
Li: 0.3107 0.1435 0.3168

Summary:
space group = C2/c (15)
energy of formation = -0.068 eV/atom